--- one ---
A relaxed structure of FeOsI2N. Source: Alexandria via LeMat-Bulk, functional PBE.

The structure in POSCAR format:
```
FeOsI2N
1.0
5.173 0.000 0.000
0.000 5.173 0.000
0.000 0.000 3.376
Fe Os I N
1 1 2 1
Cartesian
0.000 0.000 0.000 Fe
2.586 2.586 1.688 Os
0.000 2.586 0.000 I
2.586 0.000 0.000 I
0.000 0.000 1.688 N
```

Values from the calculation:
magnetization	0.0	μB per formula unit
density	9.447	g cm⁻³


--- two ---
A relaxed structure of FeOsI2N. Source: Alexandria via LeMat-Bulk, functional PBE.

The structure in POSCAR format:
```
FeOsI2N
1.0
5.554 0.000 0.000
0.000 5.554 0.000
0.000 0.000 3.723
Fe Os I N
1 1 2 1
Cartesian
0.000 0.000 0.000 Fe
2.777 2.777 1.862 Os
0.000 2.777 1.862 I
2.777 0.000 1.862 I
2.777 2.777 0.000 N
```

Values from the calculation:
magnetization	3.5	μB per formula unit
density	7.428	g cm⁻³


Q: Which of them is the most stable? A: two.


--- one ---
A relaxed structure of FePdIN2. Source: Alexandria via LeMat-Bulk, functional PBE.

The structure in POSCAR format:
```
FePdIN2
1.0
3.658 0.000 0.000
0.000 3.658 0.000
0.000 0.000 6.174
Fe Pd I N
1 1 1 2
Cartesian
0.000 0.000 0.000 Fe
1.829 1.829 3.087 Pd
0.000 0.000 3.087 I
0.000 1.829 0.000 N
1.829 0.000 0.000 N
```

Values from the calculation:
magnetization	0.0	μB per formula unit
density	6.375	g cm⁻³


--- two ---
A relaxed structure of FePdIN2. Source: Alexandria via LeMat-Bulk, functional PBE.

The structure in POSCAR format:
```
FePdIN2
1.0
3.828 0.000 0.000
0.000 3.828 0.000
0.000 0.000 7.582
Fe Pd I N
1 1 1 2
Cartesian
0.000 0.000 0.000 Fe
1.914 1.914 3.791 Pd
1.914 1.914 0.000 I
0.000 1.914 3.791 N
1.914 0.000 3.791 N
```

Values from the calculation:
magnetization	3.3	μB per formula unit
density	4.739	g cm⁻³


Q: Which of them is the most stable? A: one.


--- one ---
A relaxed structure of RbFeIN2. Source: Alexandria via LeMat-Bulk, functional PBE.

The structure in POSCAR format:
```
RbFeIN2
1.0
4.133 0.000 0.000
0.000 4.133 0.000
0.000 0.000 5.507
Rb Fe I N
1 1 1 2
Cartesian
0.000 0.000 0.000 Rb
2.067 2.067 2.753 Fe
2.067 2.067 0.000 I
0.000 2.067 2.753 N
2.067 0.000 2.753 N
```

Values from the calculation:
magnetization	0.2	μB per formula unit
density	5.229	g cm⁻³


--- two ---
A relaxed structure of RbFeIN2. Source: Alexandria via LeMat-Bulk, functional PBE.

The structure in POSCAR format:
```
RbFeIN2
1.0
5.248 0.000 0.000
0.000 5.248 0.000
0.000 0.000 7.413
Rb Fe I N
1 1 1 2
Cartesian
0.000 0.000 0.000 Rb
2.624 2.624 3.706 Fe
0.000 0.000 3.706 I
0.000 2.624 0.000 N
2.624 0.000 0.000 N
```

Values from the calculation:
magnetization	9.1	μB per formula unit
density	2.410	g cm⁻³


Q: Which of them is the most stable? A: one.